Model A:
CoSn3Ru PBE relaxed; spin magnetization = 1.3 μB/f.u.
1.0
4.997 0.000 0.000
0.000 4.997 0.000
0.000 0.000 4.997
Co Sn Ru
1 3 1
direct
0.000 0.000 0.000
0.000 0.500 0.500
0.500 0.000 0.500
0.500 0.500 0.000
0.500 0.500 0.500

---

Model B:
CoSn3Ru PBE relaxed; spin magnetization = 0.9 μB/f.u.
1.0
4.788 0.000 0.000
0.000 4.788 0.000
0.000 0.000 4.788
Co Sn Ru
1 3 1
direct
0.000 0.000 0.000
0.000 0.000 0.500
0.000 0.500 0.000
0.500 0.000 0.000
0.500 0.500 0.500

---

Q: What are the energies relative to the best structure? A: model A 49; model B 0, in meV per atom.

---

Model A:
SrCo2Ru PBE relaxed; spin magnetization = 4.5 μB/f.u.
1.0
3.501 0.000 0.000
0.000 3.880 0.000
-1.741 0.000 5.703
Sr Co Ru
1 2 1
direct
0.000 0.000 0.000
0.644 0.500 0.290
0.744 0.000 0.492
0.287 0.500 0.577

---

Model B:
SrCo2Ru PBE relaxed; spin magnetization = 4.0 μB/f.u.
1.0
-1.464 2.437 4.717
1.464 -2.437 4.717
1.464 2.437 -4.717
Sr Co Ru
1 2 1
direct
0.000 0.000 0.000
0.510 0.510 0.000
0.710 0.210 0.500
0.293 0.793 0.500

---

Model C:
SrCo2Ru PBE relaxed; spin magnetization = 4.3 μB/f.u.
1.0
3.103 0.000 0.000
0.000 3.103 0.000
0.000 0.000 7.178
Sr Co Ru
1 2 1
direct
0.000 0.000 0.000
0.000 0.000 0.483
0.500 0.500 0.336
0.500 0.500 0.675

---

Model D:
SrCo2Ru PBE relaxed; spin magnetization = 4.1 μB/f.u.
1.0
4.581 0.000 0.000
0.000 4.581 0.000
0.000 0.000 3.119
Sr Co Ru
1 2 1
direct
0.000 0.000 0.000
0.000 0.500 0.500
0.500 0.000 0.500
0.500 0.500 0.000

---

Q: What are the energies relative to the best structure? A: model A 31; model B 146; model C 0; model D 213, in meV per atom.

---

Model A:
SrCo2Ru PBE relaxed; spin magnetization = 3.3 μB/f.u.
1.0
3.136 0.000 0.000
0.000 3.136 0.000
0.000 0.000 7.040
Sr Co Ru
1 2 1
direct
0.000 0.000 0.000
0.500 0.500 0.327
0.500 0.500 0.673
0.000 0.000 0.500

---

Model B:
SrCo2Ru PBE relaxed; spin magnetization = 3.6 μB/f.u.
1.0
-2.341 2.341 8.090
2.341 -2.341 8.090
2.341 2.341 -8.090
Sr Co Ru
2 4 2
direct
0.375 0.625 0.750
0.625 0.375 0.250
0.000 0.000 0.000
0.000 0.000 0.500
0.000 0.500 0.000
0.500 0.000 0.500
0.125 0.875 0.250
0.875 0.125 0.750

---

Q: What are the energies relative to the best structure? A: model A 0; model B 154, in meV per atom.

---

Model A:
SrCo2Ru PBE relaxed; spin magnetization = 3.6 μB/f.u.
1.0
2.084 1.203 5.347
-2.084 1.203 5.347
0.000 -2.407 5.347
Sr Co Ru
1 2 1
direct
0.000 0.000 0.000
0.188 0.188 0.188
0.812 0.812 0.812
0.500 0.500 0.500

---

Model B:
SrCo2Ru PBE relaxed; spin magnetization = 4.2 μB/f.u.
1.0
0.000 3.206 3.206
3.206 0.000 3.206
3.206 3.206 0.000
Sr Co Ru
1 2 1
direct
0.000 0.000 0.000
0.500 0.500 0.500
0.750 0.750 0.750
0.250 0.250 0.250

---

Q: What are the energies relative to the best structure? A: model A 0; model B 622, in meV per atom.

---

Model A:
SrCo3Ru PBE relaxed; spin magnetization = 5.2 μB/f.u.
1.0
4.621 0.000 0.000
0.000 4.621 0.000
0.000 0.000 4.621
Sr Co Ru
1 3 1
direct
0.000 0.000 0.000
0.000 0.500 0.500
0.500 0.000 0.500
0.500 0.500 0.000
0.500 0.500 0.500

---

Model B:
SrCo3Ru PBE relaxed; spin magnetization = 6.3 μB/f.u.
1.0
4.541 0.000 0.000
0.000 4.541 0.000
0.000 0.000 4.541
Sr Co Ru
1 3 1
direct
0.000 0.000 0.000
0.000 0.000 0.500
0.000 0.500 0.000
0.500 0.000 0.000
0.500 0.500 0.500

---

Q: What are the energies relative to the best structure? A: model A 0; model B 1630, in meV per atom.

---

Model A:
SrCoRu2 PBE relaxed; spin magnetization = 3.4 μB/f.u.
1.0
2.907 0.000 0.000
0.000 4.183 0.000
-1.372 0.000 6.054
Sr Co Ru
1 1 2
direct
0.000 0.000 0.000
0.500 0.000 0.500
0.309 0.500 0.677
0.691 0.500 0.323

---

Model B:
SrCoRu2 PBE relaxed; spin magnetization = 3.1 μB/f.u.
1.0
2.782 -4.768 0.000
2.782 4.768 0.000
-1.185 0.000 2.544
Sr Co Ru
1 1 2
direct
0.000 0.000 0.000
0.500 0.500 0.000
0.000 0.500 0.500
0.500 0.000 0.500

---

Model C:
SrCoRu2 PBE relaxed; spin magnetization = 1.6 μB/f.u.
1.0
3.911 0.000 0.000
0.000 3.911 0.000
0.000 0.000 4.502
Sr Co Ru
1 1 2
direct
0.000 0.000 0.000
0.500 0.500 0.000
0.000 0.500 0.500
0.500 0.000 0.500

---

Model D:
SrCoRu2 PBE relaxed; spin magnetization = 1.8 μB/f.u.
1.0
2.878 0.000 0.000
0.000 3.533 0.000
0.000 0.000 7.106
Sr Co Ru
1 1 2
direct
0.000 0.000 0.000
0.500 0.500 0.317
0.000 0.000 0.490
0.500 0.500 0.668

---

Q: What are the energies relative to the best structure? A: model A 173; model B 364; model C 457; model D 0, in meV per atom.